(1)
Ta2Ti7Al: relaxed, PBE-GGA.

Summary:
Calculated formation energy, eV/f.u.: 8.14
Magnetic moment, μB per cell: 0.00
Crystal system: orthorhombic
Electronic total energy, eV per atom: -7.458
Mass density, Mg/m³: 5.58

abc: 4.6522 7.5239 7.5240
angles: 125.17 90.00 90.00
Last column: nearest neighbours and their distance in Å.
Fractional coordinates of all 10 atoms:
Ti1 0.5000 0.7252 0.9314  2 Ti 2.38-2.66
Ti2 0.0000 0.2274 0.7726  2 Ta 2.46
Ti3 0.5000 0.2748 0.0686  2 Ti 2.38-2.66
Ti4 0.5000 0.9314 0.7252  2 Ti 2.38-2.66
Ti5 0.5000 0.5000 0.5000  4 Ti 2.66, 2 Ta 2.83
Ti6 0.5000 0.0686 0.2748  2 Ti 2.38-2.66
Ti7 0.0000 0.7726 0.2274  2 Ta 2.46
Al1 0.0000 0.0000 0.0000  10 Ti 2.95-3.04
Ta1 0.5000 0.7118 0.2882  6 Ti 2.46-2.74
Ta2 0.5000 0.2882 0.7118  6 Ti 2.46-2.74

***

(2)
TaTiAl: relaxed, PBE-GGA.

Summary:
Energy relative to the lowest polymorph listed for this composition, meV per atom: 61.1
Calculated formation energy, eV/f.u.: -0.35
Magnetic moment, μB per cell: 0.00
Crystal system: orthorhombic
Electronic total energy, eV per atom: -7.946
Mass density, Mg/m³: 8.37

abc: 4.4526 2.7671 8.3561
angles: 80.47 90.00 90.00
Last column: nearest neighbours and their distance in Å.
Fractional coordinates of all 6 atoms:
Al1 0.2500 0.1182 0.7635  2 Al 2.77, 5 Ta 2.89-3.00, 6 Ti 2.92-2.94
Al2 0.7500 0.8818 0.2364  2 Al 2.77, 5 Ta 2.89-3.00, 6 Ti 2.92-2.94
Ti1 0.7500 0.5375 0.9249  4 Ti 2.55-2.77, 1 Ta 2.78
Ti2 0.2500 0.4625 0.0751  4 Ti 2.55-2.77, 1 Ta 2.78
Ta1 0.2500 0.2938 0.4124  6 Ta 2.77-2.99, 1 Ti 2.78, 5 Al 2.89-3.00
Ta2 0.7500 0.7062 0.5876  6 Ta 2.77-2.99, 1 Ti 2.78, 5 Al 2.89-3.00

***

(3)
TaTiAl: relaxed, PBE-GGA.

Summary:
Energy relative to the lowest polymorph listed for this composition, meV per atom: 0.0
Calculated formation energy, eV/f.u.: -0.53
Magnetic moment, μB per cell: 0.00
Crystal system: tetragonal
Electronic total energy, eV per atom: -8.007
Mass density, Mg/m³: 8.23

abc: 3.3688 3.3688 9.0957
angles: 90.00 90.00 90.00
Last column: nearest neighbours and their distance in Å.
Fractional coordinates of all 6 atoms:
Ti1 0.7500 0.7500 0.5844  5 Al 2.82-3.05, 4 Ti 2.83, 1 Ta 3.04
Ti2 0.2500 0.2500 0.4156  5 Al 2.82-3.05, 4 Ti 2.83, 1 Ta 3.04
Al1 0.2500 0.2500 0.7508  5 Ti 2.82-3.05, 5 Ta 2.83-3.00
Al2 0.7500 0.7500 0.2492  5 Ti 2.82-3.05, 5 Ta 2.83-3.00
Ta1 0.7500 0.7500 0.9192  4 Ta 2.80, 5 Al 2.83-3.00, 1 Ti 3.04
Ta2 0.2500 0.2500 0.0808  4 Ta 2.80, 5 Al 2.83-3.00, 1 Ti 3.04

***

(4)
TaTiAl3: relaxed, PBE-GGA.

Summary:
Energy relative to the lowest polymorph listed for this composition, meV per atom: 1450.2
Calculated formation energy, eV/f.u.: 5.98
Magnetic moment, μB per cell: 0.00
Crystal system: cubic
Electronic total energy, eV per atom: -5.000
Mass density, Mg/m³: 5.06

abc: 4.6667 4.6667 4.6667
angles: 90.00 90.00 90.00
Last column: nearest neighbours and their distance in Å.
Fractional coordinates of all 5 atoms:
Al1 0.0000 0.0000 0.5000  2 Ti 2.33
Al2 0.0000 0.5000 0.0000  2 Ti 2.33
Al3 0.5000 0.0000 0.0000  2 Ti 2.33
Ti1 0.0000 0.0000 0.0000  6 Al 2.33
Ta1 0.5000 0.5000 0.5000  12 Al 3.30

***

(5)
TaTiAl: relaxed, PBE-GGA.

Summary:
Energy relative to the lowest polymorph listed for this composition, meV per atom: 105.2
Calculated formation energy, eV/f.u.: -0.21
Magnetic moment, μB per cell: 0.56
Crystal system: hexagonal
Electronic total energy, eV per atom: -7.901
Mass density, Mg/m³: 8.38

abc: 2.7667 4.5998 4.5998
angles: 120.00 90.00 90.00
Last column: nearest neighbours and their distance in Å.
Fractional coordinates of all 3 atoms:
Al1 0.6666 0.3333 0.6667  2 Al 2.77, 6 Ti 2.99-3.00, 6 Ta 2.99
Ta1 0.1663 0.0000 0.0000  3 Ti 2.66, 2 Ta 2.77
Ti1 0.1671 0.6667 0.3333  3 Ta 2.66, 2 Ti 2.77

***

(6)
Ta3TiAl: relaxed, PBE-GGA.

Summary:
Energy relative to the lowest polymorph listed for this composition, meV per atom: 0.0
Calculated formation energy, eV/f.u.: 6.14
Magnetic moment, μB per cell: 0.00
Crystal system: cubic
Electronic total energy, eV per atom: -8.212
Mass density, Mg/m³: 9.88

abc: 4.7006 4.7006 4.7006
angles: 90.00 90.00 90.00
Last column: nearest neighbours and their distance in Å.
Fractional coordinates of all 5 atoms:
Ta1 0.0000 0.0000 0.5000  2 Al 2.35
Ta2 0.0000 0.5000 0.0000  2 Al 2.35
Ta3 0.5000 0.0000 0.0000  2 Al 2.35
Ti1 0.5000 0.5000 0.5000  12 Ta 3.32
Al1 0.0000 0.0000 0.0000  6 Ta 2.35

***

(7)
TaTi4Al2: relaxed, PBE-GGA.

Summary:
Calculated formation energy, eV/f.u.: -0.41
Magnetic moment, μB per cell: 0.00
Crystal system: monoclinic
Electronic total energy, eV per atom: -7.333
Mass density, Mg/m³: 5.97

abc: 7.0686 5.2608 7.1363
angles: 90.00 116.58 90.00
Last column: nearest neighbours and their distance in Å.
Fractional coordinates of all 14 atoms:
Ti1 0.5834 0.5023 0.2274  4 Ti 2.61-2.92, 4 Al 2.73-2.89
Ti2 0.9615 0.7500 0.4502  1 Ta 2.65, 5 Ti 2.68-2.75, 2 Al 2.79-2.81
Ti3 0.9068 0.2500 0.1345  3 Ti 2.68-2.96, 1 Ta 2.69, 4 Al 2.75-2.86
Ti4 0.0932 0.7500 0.8655  3 Ti 2.68-2.96, 1 Ta 2.69, 4 Al 2.75-2.86
Ti5 0.4166 0.0023 0.7726  4 Ti 2.61-2.92, 4 Al 2.73-2.89
Ti6 0.4166 0.4977 0.7726  4 Ti 2.61-2.92, 4 Al 2.73-2.89
Ti7 0.5834 0.9977 0.2274  4 Ti 2.61-2.92, 4 Al 2.73-2.89
Ti8 0.0385 0.2500 0.5498  1 Ta 2.65, 5 Ti 2.68-2.75, 2 Al 2.79-2.81
Ta1 0.7703 0.2500 0.7171  2 Ti 2.65-2.69, 4 Al 2.79-2.81
Ta2 0.2297 0.7500 0.2829  2 Ti 2.65-2.69, 4 Al 2.79-2.81
Al1 0.3501 0.2500 0.4119  1 Al 2.72, 6 Ti 2.73-2.86, 3 Ta 2.79
Al2 0.2065 0.2500 0.9888  1 Al 2.72, 8 Ti 2.75-2.89, 1 Ta 2.81
Al3 0.7935 0.7500 0.0112  1 Al 2.72, 8 Ti 2.75-2.89, 1 Ta 2.81
Al4 0.6499 0.7500 0.5881  1 Al 2.72, 6 Ti 2.73-2.86, 3 Ta 2.79

***

(8)
TaTi5Al4: relaxed, PBE-GGA.

Summary:
Calculated formation energy, eV/f.u.: -2.67
Magnetic moment, μB per cell: 0.00
Crystal system: tetragonal
Electronic total energy, eV per atom: -6.897
Mass density, Mg/m³: 5.32

abc: 3.3212 3.3212 14.9572
angles: 90.00 90.00 90.00
Last column: nearest neighbours and their distance in Å.
Fractional coordinates of all 10 atoms:
Al1 0.0000 0.0000 0.4037  8 Ti 2.76-2.77, 2 Al 2.88-3.01
Al2 0.0000 0.0000 0.5963  8 Ti 2.76-2.77, 2 Al 2.88-3.01
Al3 0.0000 0.0000 0.7974  8 Ti 2.78-2.81, 1 Al 3.01, 1 Ta 3.03
Al4 0.0000 0.0000 0.2026  8 Ti 2.78-2.81, 1 Al 3.01, 1 Ta 3.03
Ti1 0.5000 0.5000 0.8974  4 Al 2.78, 4 Ta 2.81, 2 Ti 3.04-3.07
Ti2 0.5000 0.5000 0.5000  8 Al 2.76, 2 Ti 2.91
Ti3 0.5000 0.5000 0.1026  4 Al 2.78, 4 Ta 2.81, 2 Ti 3.04-3.07
Ti4 0.5000 0.5000 0.3057  8 Al 2.77-2.81, 2 Ti 2.91-3.04
Ti5 0.5000 0.5000 0.6943  8 Al 2.77-2.81, 2 Ti 2.91-3.04
Ta1 0.0000 0.0000 0.0000  8 Ti 2.81, 2 Al 3.03

***

(9)
Ta3Ti2Al3: relaxed, PBE-GGA.

Summary:
Calculated formation energy, eV/f.u.: -1.95
Magnetic moment, μB per cell: 0.00
Crystal system: orthorhombic
Electronic total energy, eV per atom: -8.066
Mass density, Mg/m³: 8.85

abc: 4.2034 3.7883 8.4818
angles: 90.00 90.00 90.00
Last column: nearest neighbours and their distance in Å.
Fractional coordinates of all 8 atoms:
Ta1 0.5000 0.5000 0.7504  4 Ti 2.83, 2 Ta 2.84, 6 Al 2.85-2.99
Ta2 0.5000 0.0000 0.0000  4 Al 2.83, 4 Ta 2.84, 4 Ti 3.00
Ta3 0.5000 0.5000 0.2496  4 Ti 2.83, 2 Ta 2.84, 6 Al 2.85-2.99
Ti1 0.0000 0.0000 0.7472  6 Al 2.83-2.97, 6 Ta 2.83-3.00
Ti2 0.0000 0.0000 0.2528  6 Al 2.83-2.97, 6 Ta 2.83-3.00
Al1 0.0000 0.5000 0.5000  4 Ti 2.83, 4 Al 2.83, 4 Ta 2.99
Al2 0.0000 0.5000 0.0000  8 Ta 2.83-2.98, 4 Ti 2.86
Al3 0.5000 0.0000 0.5000  4 Al 2.83, 4 Ta 2.85, 4 Ti 2.97

***

(10)
TaTiAl: relaxed, PBE-GGA.

Summary:
Energy relative to the lowest polymorph listed for this composition, meV per atom: 986.3
Calculated formation energy, eV/f.u.: 2.43
Magnetic moment, μB per cell: 1.91
Crystal system: cubic
Electronic total energy, eV per atom: -7.020
Mass density, Mg/m³: 6.66

abc: 4.4836 4.4836 4.4836
angles: 60.00 60.00 60.00
Last column: nearest neighbours and their distance in Å.
Fractional coordinates of all 3 atoms:
Ta1 0.2500 0.2500 0.2500  4 Ti 2.75, 4 Al 2.75
Ti1 0.0000 0.0000 0.0000  4 Ta 2.75
Al1 0.5000 0.5000 0.5000  4 Ta 2.75